# 1
{"formula": "Zr2Sc2As", "functional": "PBE-GGA", "state": "optimized geometry", "lattice_angstrom": [[-5.8122, 0.6865, -3.9972], [-3.7740, -3.4731, 4.8913], [-0.9625, 3.9795, 2.0831]], "species": ["Sc", "Sc", "Sc", "Sc", "As", "As", "Zr", "Zr", "Zr", "Zr"], "fractional_positions": [[0.1530, 0.6530, 0.5000], [0.6530, 0.8470, 0.5000], [0.8470, 0.3470, 0.5000], [0.3470, 0.1530, 0.5000], [0.0000, 0.0000, 0.0000], [0.5000, 0.5000, 0.0000], [0.3508, 0.8508, 0.0000], [0.8508, 0.6492, 0.0000], [0.6492, 0.1492, 0.0000], [0.1492, 0.3508, 0.0000]], "delta_e_f_ev_per_atom": -0.281, "e_tot_ev_per_atom": -7.163, "magmom_total_mub_per_cell": 0.0}

***

# 2
{"formula": "Mg5H12Ru2", "functional": "PBE-GGA", "state": "optimized geometry", "lattice_angstrom": [[-3.8512, 1.8900, -3.6401], [-1.3439, -0.4201, 5.5516], [3.2212, 5.6276, -0.4860]], "species": ["Mg", "Mg", "Mg", "Mg", "Mg", "H", "H", "H", "H", "H", "H", "H", "H", "H", "H", "H", "H", "Ru", "Ru"], "fractional_positions": [[0.3251, 0.6501, 0.6380], [0.2841, 0.5681, 0.1403], [0.0000, 0.0000, 0.5000], [0.7159, 0.4319, 0.8597], [0.6749, 0.3499, 0.3620], [0.9750, 0.9500, 0.1574], [0.1027, 0.6485, 0.8881], [0.5458, 0.6485, 0.8881], [0.1005, 0.6995, 0.4286], [0.5991, 0.6995, 0.4286], [0.5158, 0.0317, 0.8357], [0.4842, 0.9683, 0.1643], [0.8995, 0.3005, 0.5714], [0.4009, 0.3005, 0.5714], [0.8973, 0.3515, 0.1119], [0.4542, 0.3515, 0.1119], [0.0250, 0.0500, 0.8426], [0.7490, 0.0000, 0.0000], [0.2510, 0.0000, 0.0000]], "e_tot_ev_per_atom": -3.646, "magmom_total_mub_per_cell": 0.0}

***

# 3
{"formula": "MgScCo3", "functional": "PBE-GGA", "state": "optimized geometry", "lattice_angstrom": [[4.3177, 0.0000, 0.0000], [0.0000, 4.3177, 0.0000], [0.0000, 0.0000, 4.3177]], "species": ["Sc", "Mg", "Co", "Co", "Co"], "fractional_positions": [[0.5000, 0.5000, 0.5000], [0.0000, 0.0000, 0.0000], [0.0000, 0.5000, 0.0000], [0.0000, 0.0000, 0.5000], [0.5000, 0.0000, 0.0000]], "delta_e_f_ev_per_atom": 0.930, "e_tot_ev_per_atom": -4.919, "de_polymorph_ev_per_fu": 0.000, "magmom_total_mub_per_cell": 2.0}

***

# 4
{"formula": "NdHoCd14", "functional": "PBE-GGA", "state": "optimized geometry", "lattice_angstrom": [[6.6454, -0.0140, 0.0000], [0.0142, 6.6454, 0.0000], [0.0000, 0.0000, 8.4921]], "species": ["Nd", "Ho", "Cd", "Cd", "Cd", "Cd", "Cd", "Cd", "Cd", "Cd", "Cd", "Cd", "Cd", "Cd", "Cd", "Cd"], "fractional_positions": [[0.8750, 0.8750, 0.5000], [0.3750, 0.3750, 0.5000], [0.8750, 0.8750, 0.0000], [0.3750, 0.3750, 0.0000], [0.8750, 0.3750, 0.5000], [0.8750, 0.3750, 0.0000], [0.3750, 0.8750, 0.5000], [0.3750, 0.8750, 0.0000], [0.6219, 0.1281, 0.2400], [0.6219, 0.1281, 0.7600], [0.1281, 0.6219, 0.2400], [0.1281, 0.6219, 0.7600], [0.6219, 0.6219, 0.2400], [0.6219, 0.6219, 0.7600], [0.1281, 0.1281, 0.2401], [0.1281, 0.1281, 0.7599]], "delta_e_f_ev_per_atom": -0.141, "e_tot_ev_per_atom": -1.526, "magmom_total_mub_per_cell": 0.0}

***

# 5
{"formula": "Ac7Ga2Pd2", "functional": "PBE-GGA", "state": "optimized geometry", "lattice_angstrom": [[7.3293, -0.0035, -1.0490], [0.0031, 7.6058, 0.0036], [-1.5036, -0.0019, 7.2497]], "species": ["Ac", "Ac", "Ac", "Ac", "Ac", "Ac", "Ac", "Ga", "Ga", "Pd", "Pd"], "fractional_positions": [[0.0000, 0.2663, 0.4999], [0.4999, 0.7337, 0.0000], [0.0000, 0.7337, 0.5001], [0.5001, 0.2663, 0.0000], [0.0000, 0.0000, 0.0000], [0.4999, 0.7361, 0.5001], [0.5001, 0.2639, 0.4999], [0.8456, 0.5000, 0.8456], [0.1544, 0.5000, 0.1544], [0.7052, 0.0000, 0.2948], [0.2948, 0.0000, 0.7052]], "delta_e_f_ev_per_atom": -0.308, "e_tot_ev_per_atom": -4.417, "magmom_total_mub_per_cell": 0.0}

***

# 6
{"formula": "SrAl3Pt3", "functional": "PBE-GGA", "state": "optimized geometry", "lattice_angstrom": [[-4.6899, -4.9952, 0.4592], [4.9521, -4.5104, 1.5136], [-0.7993, 1.3649, 6.6825]], "species": ["Sr", "Sr", "Al", "Al", "Al", "Al", "Al", "Al", "Pt", "Pt", "Pt", "Pt", "Pt", "Pt"], "fractional_positions": [[0.5000, 0.5000, 0.5000], [0.0000, 0.0000, 0.0000], [0.0000, 0.2500, 0.5000], [0.0000, 0.7500, 0.5000], [0.5000, 0.0000, 0.7500], [0.7500, 0.5000, 0.0000], [0.5000, 0.0000, 0.2500], [0.2500, 0.5000, 0.0000], [0.2500, 0.0000, 0.5000], [0.0000, 0.5000, 0.2500], [0.5000, 0.7500, 0.0000], [0.7500, 0.0000, 0.5000], [0.0000, 0.5000, 0.7500], [0.5000, 0.2500, 0.0000]], "delta_e_f_ev_per_atom": -0.732, "e_tot_ev_per_atom": -5.165, "magmom_total_mub_per_cell": 0.0}

***

# 7
{"formula": "Zn2CrMoBr", "functional": "PBE-GGA", "state": "optimized geometry", "lattice_angstrom": [[4.8180, 0.0000, 0.0000], [0.0000, 4.5411, 0.0000], [0.0000, 0.0000, 4.8180]], "species": ["Cr", "Mo", "Zn", "Zn", "Br"], "fractional_positions": [[0.0000, 0.5000, 0.0000], [0.5000, 0.5000, 0.5000], [0.0000, 0.0000, 0.5000], [0.5000, 0.0000, 0.0000], [0.0000, 0.0000, 0.0000]], "e_form_raw_mev_per_atom": 1636.4, "e_tot_ev_per_atom": -3.299, "magmom_total_mub_per_cell": 5.0}

***

# 8
{"formula": "FePC", "functional": "PBE-GGA", "state": "optimized geometry", "lattice_angstrom": [[-2.7440, -0.7602, 0.1588], [1.8347, -0.8538, 2.0093], [-1.7356, 7.2372, 4.6598]], "species": ["P", "P", "C", "C", "Fe", "Fe"], "fractional_positions": [[0.3333, 0.6667, 0.4713], [0.0000, 0.0000, 0.8849], [0.6667, 0.3333, 0.1502], [0.6667, 0.3333, 0.9837], [0.0000, 0.0000, 0.6351], [0.0000, 0.0000, 0.2750]], "delta_e_f_ev_per_atom": 0.142, "e_tot_ev_per_atom": -7.557, "de_polymorph_ev_per_fu": 0.029, "magmom_total_mub_per_cell": 1.9}

***

# 9
{"formula": "Tl3PdS", "functional": "PBE-GGA", "state": "optimized geometry", "lattice_angstrom": [[5.5274, 0.0000, 0.0000], [0.0000, 5.5274, 0.0000], [0.0000, 0.0000, 5.5274]], "species": ["Tl", "Tl", "Tl", "S", "Pd"], "fractional_positions": [[0.0000, 0.5000, 0.0000], [0.0000, 0.0000, 0.5000], [0.5000, 0.0000, 0.0000], [0.0000, 0.0000, 0.0000], [0.5000, 0.5000, 0.5000]], "e_form_raw_mev_per_atom": 488.9, "e_tot_ev_per_atom": -2.795, "de_polymorph_ev_per_fu": 2.567, "magmom_total_mub_per_cell": 0.0}

***

# 10
{"formula": "DyYTlIn", "functional": "PBE-GGA", "state": "optimized geometry", "lattice_angstrom": [[5.3463, 0.0000, 0.0000], [2.6732, 4.6301, 0.0000], [2.6732, 1.5434, 4.3653]], "species": ["Y", "Tl", "In", "Dy"], "fractional_positions": [[0.7500, 0.7500, 0.7500], [0.0000, 0.0000, 0.0000], [0.5000, 0.5000, 0.5000], [0.2500, 0.2500, 0.2500]], "delta_e_f_ev_per_atom": -0.420, "e_tot_ev_per_atom": -4.463, "magmom_total_mub_per_cell": 0.0}

***

# 11
{"formula": "SbRu2", "functional": "PBE-GGA", "state": "optimized geometry", "lattice_angstrom": [[-12.8184, -0.6887, -1.4984], [-11.3457, -6.0585, -1.2654], [11.7569, 3.4045, 4.1492]], "species": ["Sb", "Sb", "Sb", "Sb", "Ru", "Ru", "Ru", "Ru", "Ru", "Ru", "Ru", "Ru"], "fractional_positions": [[0.9258, 0.9258, 0.0000], [0.0742, 0.0742, 0.0000], [0.1758, 0.6758, 0.5000], [0.3242, 0.8242, 0.5000], [0.7518, 0.7518, 0.0000], [0.2482, 0.2482, 0.0000], [0.0018, 0.5018, 0.5000], [0.4982, 0.9982, 0.5000], [0.5833, 0.5833, 0.0000], [0.4167, 0.4167, 0.0000], [0.8333, 0.3333, 0.5000], [0.6667, 0.1667, 0.5000]], "e_form_raw_mev_per_atom": 235.7, "e_tot_ev_per_atom": -7.322, "magmom_total_mub_per_cell": 0.0}

***

# 12
{"formula": "AgAuS3", "functional": "PBE-GGA", "state": "optimized geometry", "lattice_angstrom": [[4.8908, 0.0000, 0.0000], [0.0000, 7.2966, 0.2012], [0.0000, -3.3982, 12.5904]], "species": ["Ag", "Ag", "Ag", "Ag", "Au", "Au", "Au", "Au", "S", "S", "S", "S", "S", "S", "S", "S", "S", "S", "S", "S"], "fractional_positions": [[0.7500, 0.5859, 0.4547], [0.2500, 0.4141, 0.5453], [0.2500, 0.9141, 0.0453], [0.7500, 0.0859, 0.9547], [0.2500, 0.4164, 0.0932], [0.7500, 0.5836, 0.9068], [0.7500, 0.0836, 0.4068], [0.2500, 0.9164, 0.5932], [0.2500, 0.2909, 0.2471], [0.7500, 0.7091, 0.7529], [0.7500, 0.2091, 0.2529], [0.2500, 0.7909, 0.7471], [0.2500, 0.5383, 0.3620], [0.7500, 0.4617, 0.6380], [0.7500, 0.9617, 0.1380], [0.2500, 0.0383, 0.8620], [0.7500, 0.9392, 0.5547], [0.2500, 0.0608, 0.4453], [0.2500, 0.5608, 0.9453], [0.7500, 0.4392, 0.0547]], "e_form_raw_mev_per_atom": 95.4, "e_tot_ev_per_atom": -3.607, "de_polymorph_ev_per_fu": 0.242, "magmom_total_mub_per_cell": 0.0}

***

# 13
{"formula": "Pm4Ga2Ge", "functional": "PBE-GGA", "state": "optimized geometry", "lattice_angstrom": [[-1.8193, 2.8218, -2.7034], [-4.8841, -0.2771, 2.9976], [6.7343, 4.6904, 3.8002]], "species": ["Pm", "Pm", "Pm", "Pm", "Ga", "Ga", "Ge"], "fractional_positions": [[0.9017, 0.3271, 0.8033], [0.0983, 0.6729, 0.1967], [0.6394, 0.2204, 0.2788], [0.3606, 0.7796, 0.7212], [0.7349, 0.8332, 0.4699], [0.2651, 0.1668, 0.5301], [0.0000, 0.0000, 0.0000]], "delta_e_f_ev_per_atom": -0.486, "e_tot_ev_per_atom": -4.725, "magmom_total_mub_per_cell": 0.0}

***

# 14
{"formula": "Zr6Ga2P", "functional": "PBE-GGA", "state": "optimized geometry", "lattice_angstrom": [[5.6885, 0.0000, 0.2536], [0.0000, 7.3318, 0.0000], [-0.3800, 0.0000, 9.0024]], "species": ["Zr", "Zr", "Zr", "Zr", "Zr", "Zr", "Zr", "Zr", "Zr", "Zr", "Zr", "Zr", "Ga", "Ga", "Ga", "Ga", "P", "P"], "fractional_positions": [[0.8724, 0.9695, 0.2283], [0.8600, 0.6721, 0.5535], [0.8751, 0.6822, 0.9451], [0.6249, 0.1822, 0.5549], [0.6400, 0.1721, 0.9465], [0.6276, 0.4695, 0.2717], [0.1276, 0.0305, 0.7717], [0.1400, 0.3279, 0.4465], [0.1249, 0.3178, 0.0549], [0.3751, 0.8178, 0.4451], [0.3600, 0.8279, 0.0535], [0.3724, 0.5305, 0.7283], [0.9139, 0.3820, 0.7493], [0.5861, 0.8820, 0.7507], [0.4139, 0.1180, 0.2493], [0.0861, 0.6180, 0.2507], [0.5000, 0.5000, 0.0000], [0.0000, 0.0000, 0.5000]], "delta_e_f_ev_per_atom": -0.565, "e_tot_ev_per_atom": -7.537, "magmom_total_mub_per_cell": 0.0}